Entry 1:
# Os2Se PBE relaxed
data_Os2Se
_cell_length_a 5.8503
_cell_length_b 5.8503
_cell_length_c 5.8503
_cell_angle_alpha 151.17
_cell_angle_beta 151.17
_cell_angle_gamma 41.23
_space_group_name_H-M_alt 'P 1'
_space_group_IT_number 1
_space_group_name_Hall 'P 1'
loop_
_atom_site_label
_atom_site_type_symbol
_atom_site_fract_x
_atom_site_fract_y
_atom_site_fract_z
Os1 Os 0.3255 0.3255 0.0000
Os2 Os 0.6745 0.6745 0.0000
Se1 Se 0.0000 0.0000 0.0000
# * space group: No. 139
# * magnetic moment: 0.00 Bohr magnetons per cell
# * uncorrected energy: -24.0 eV per cell

Entry 2:
# Os2Se PBE relaxed
data_Os2Se
_cell_length_a 2.8793
_cell_length_b 2.8793
_cell_length_c 6.3408
_cell_angle_alpha 90.00
_cell_angle_beta 90.00
_cell_angle_gamma 120.00
_space_group_name_H-M_alt 'P 1'
_space_group_IT_number 1
_space_group_name_Hall 'P 1'
loop_
_atom_site_label
_atom_site_type_symbol
_atom_site_fract_x
_atom_site_fract_y
_atom_site_fract_z
Os1 Os 0.6667 0.3333 0.6614
Os2 Os 0.3333 0.6667 0.3386
Se1 Se 0.0000 0.0000 0.0000
# * space group: No. 164
# * magnetic moment: 0.00 Bohr magnetons per cell
# * uncorrected energy: -24.3 eV per cell

Entry 3:
# OsSe3 PBE relaxed
data_OsSe3
_cell_length_a 2.9842
_cell_length_b 2.9368
_cell_length_c 10.1691
_cell_angle_alpha 90.00
_cell_angle_beta 90.00
_cell_angle_gamma 90.00
_space_group_name_H-M_alt 'P 1'
_space_group_IT_number 1
_space_group_name_Hall 'P 1'
loop_
_atom_site_label
_atom_site_type_symbol
_atom_site_fract_x
_atom_site_fract_y
_atom_site_fract_z
Os1 Os 0.0000 0.0000 0.8117
Se1 Se 0.5000 0.0000 0.6173
Se2 Se 0.5000 0.5000 0.9562
Se3 Se 0.0000 0.5000 0.2815
# * space group: No. 25
# * magnetic moment: 0.00 Bohr magnetons per cell
# * uncorrected energy: -20.7 eV per cell

Entry 4:
# Os2Se PBE relaxed
data_Os2Se
_cell_length_a 4.1785
_cell_length_b 4.1785
_cell_length_c 3.0116
_cell_angle_alpha 90.00
_cell_angle_beta 90.00
_cell_angle_gamma 120.00
_space_group_name_H-M_alt 'P 1'
_space_group_IT_number 1
_space_group_name_Hall 'P 1'
loop_
_atom_site_label
_atom_site_type_symbol
_atom_site_fract_x
_atom_site_fract_y
_atom_site_fract_z
Os1 Os 0.6667 0.3333 0.2582
Os2 Os 0.3333 0.6667 0.7418
Se1 Se 0.0000 0.0000 0.0000
# * space group: No. 164
# * magnetic moment: 0.00 Bohr magnetons per cell
# * uncorrected energy: -23.6 eV per cell

Entry 5:
# OsSe3 PBE relaxed
data_OsSe3
_cell_length_a 4.9478
_cell_length_b 4.9478
_cell_length_c 4.9478
_cell_angle_alpha 90.00
_cell_angle_beta 90.00
_cell_angle_gamma 90.00
_space_group_name_H-M_alt 'P 1'
_space_group_IT_number 1
_space_group_name_Hall 'P 1'
loop_
_atom_site_label
_atom_site_type_symbol
_atom_site_fract_x
_atom_site_fract_y
_atom_site_fract_z
Os1 Os 0.0000 0.0000 0.0000
Se1 Se 0.5000 0.0000 0.0000
Se2 Se 0.0000 0.5000 0.0000
Se3 Se 0.0000 0.0000 0.5000
# * space group: No. 221
# * magnetic moment: 1.51 Bohr magnetons per cell
# * uncorrected energy: -18.6 eV per cell

Entry 6:
# Os2Se PBE relaxed
data_Os2Se
_cell_length_a 5.1683
_cell_length_b 5.1683
_cell_length_c 8.1474
_cell_angle_alpha 79.38
_cell_angle_beta 79.38
_cell_angle_gamma 31.81
_space_group_name_H-M_alt 'P 1'
_space_group_IT_number 1
_space_group_name_Hall 'P 1'
loop_
_atom_site_label
_atom_site_type_symbol
_atom_site_fract_x
_atom_site_fract_y
_atom_site_fract_z
Os1 Os 0.6832 0.6832 0.8950
Os2 Os 0.0409 0.0409 0.1445
Os3 Os 0.9591 0.9591 0.8555
Os4 Os 0.3168 0.3168 0.1050
Se1 Se 0.3480 0.3480 0.6626
Se2 Se 0.6520 0.6520 0.3374
# * space group: No. 12
# * magnetic moment: 0.00 Bohr magnetons per cell
# * uncorrected energy: -50.0 eV per cell

Entry 7:
# OsSe3 PBE relaxed
data_OsSe3
_cell_length_a 6.3515
_cell_length_b 6.3515
_cell_length_c 6.3515
_cell_angle_alpha 152.24
_cell_angle_beta 136.85
_cell_angle_gamma 52.08
_space_group_name_H-M_alt 'P 1'
_space_group_IT_number 1
_space_group_name_Hall 'P 1'
loop_
_atom_site_label
_atom_site_type_symbol
_atom_site_fract_x
_atom_site_fract_y
_atom_site_fract_z
Os1 Os 0.0000 0.0000 0.0000
Se1 Se 0.8241 0.3241 0.5000
Se2 Se 0.5000 0.5000 0.0000
Se3 Se 0.1759 0.6759 0.5000
# * space group: No. 71
# * magnetic moment: 0.00 Bohr magnetons per cell
# * uncorrected energy: -20.1 eV per cell

Entry 8:
# Os2Se PBE relaxed
data_Os2Se
_cell_length_a 5.5033
_cell_length_b 5.5033
_cell_length_c 6.1893
_cell_angle_alpha 71.68
_cell_angle_beta 71.68
_cell_angle_gamma 31.04
_space_group_name_H-M_alt 'P 1'
_space_group_IT_number 1
_space_group_name_Hall 'P 1'
loop_
_atom_site_label
_atom_site_type_symbol
_atom_site_fract_x
_atom_site_fract_y
_atom_site_fract_z
Os1 Os 0.4374 0.4374 0.8201
Os2 Os 0.1260 0.1260 0.5073
Os3 Os 0.8740 0.8740 0.4927
Os4 Os 0.5626 0.5626 0.1799
Se1 Se 0.8082 0.8082 0.1544
Se2 Se 0.1918 0.1918 0.8456
# * space group: No. 12
# * magnetic moment: 0.00 Bohr magnetons per cell
# * uncorrected energy: -48.6 eV per cell

Entry 9:
# Os2Se PBE relaxed
data_Os2Se
_cell_length_a 4.3078
_cell_length_b 4.3078
_cell_length_c 5.6395
_cell_angle_alpha 90.00
_cell_angle_beta 90.00
_cell_angle_gamma 120.00
_space_group_name_H-M_alt 'P 1'
_space_group_IT_number 1
_space_group_name_Hall 'P 1'
loop_
_atom_site_label
_atom_site_type_symbol
_atom_site_fract_x
_atom_site_fract_y
_atom_site_fract_z
Os1 Os 0.0000 0.0000 0.0000
Os2 Os 0.0000 0.0000 0.5000
Os3 Os 0.3333 0.6667 0.7500
Os4 Os 0.6667 0.3333 0.2500
Se1 Se 0.3333 0.6667 0.2500
Se2 Se 0.6667 0.3333 0.7500
# * space group: No. 194
# * magnetic moment: 0.00 Bohr magnetons per cell
# * uncorrected energy: -46.0 eV per cell

Entry 10:
# Os5Se PBE relaxed
data_Os5Se
_cell_length_a 6.3387
_cell_length_b 6.3387
_cell_length_c 3.8485
_cell_angle_alpha 90.00
_cell_angle_beta 90.00
_cell_angle_gamma 144.09
_space_group_name_H-M_alt 'P 1'
_space_group_IT_number 1
_space_group_name_Hall 'P 1'
loop_
_atom_site_label
_atom_site_type_symbol
_atom_site_fract_x
_atom_site_fract_y
_atom_site_fract_z
Os1 Os 0.3253 0.6747 0.5000
Os2 Os 0.1807 0.8193 0.0000
Os3 Os 0.0000 0.0000 0.5000
Os4 Os 0.8193 0.1807 0.0000
Os5 Os 0.6747 0.3253 0.5000
Se1 Se 0.5000 0.5000 0.0000
# * space group: No. 65
# * magnetic moment: 0.00 Bohr magnetons per cell
# * uncorrected energy: -55.9 eV per cell

Entry 11:
# Os2Se PBE relaxed
data_Os2Se
_cell_length_a 5.3697
_cell_length_b 5.3697
_cell_length_c 7.3397
_cell_angle_alpha 64.35
_cell_angle_beta 64.35
_cell_angle_gamma 30.76
_space_group_name_H-M_alt 'P 1'
_space_group_IT_number 1
_space_group_name_Hall 'P 1'
loop_
_atom_site_label
_atom_site_type_symbol
_atom_site_fract_x
_atom_site_fract_y
_atom_site_fract_z
Os1 Os 0.9580 0.9580 0.9988
Os2 Os 0.6771 0.6771 0.6958
Os3 Os 0.3631 0.3631 0.3546
Os4 Os 0.4121 0.4121 0.7119
Se1 Se 0.0410 0.0410 0.4047
Se2 Se 0.7154 0.7154 0.0009
# * space group: No. 8
# * magnetic moment: 0.00 Bohr magnetons per cell
# * uncorrected energy: -48.3 eV per cell

Entry 12:
# SiOs4Se PBE relaxed
data_SiOs4Se
_cell_length_a 5.2052
_cell_length_b 5.2052
_cell_length_c 5.2052
_cell_angle_alpha 60.00
_cell_angle_beta 60.00
_cell_angle_gamma 60.00
_space_group_name_H-M_alt 'P 1'
_space_group_IT_number 1
_space_group_name_Hall 'P 1'
loop_
_atom_site_label
_atom_site_type_symbol
_atom_site_fract_x
_atom_site_fract_y
_atom_site_fract_z
Si1 Si 0.0000 0.0000 0.0000
Os1 Os 0.8754 0.3749 0.3749
Os2 Os 0.3749 0.3749 0.8754
Os3 Os 0.3749 0.8754 0.3749
Os4 Os 0.3749 0.3749 0.3749
Se1 Se 0.7500 0.7500 0.7500
# * space group: No. 216
# * magnetic moment: 0.01 Bohr magnetons per cell
# * uncorrected energy: -46.3 eV per cell

Entry 13:
# SiOs2Se PBE relaxed
data_SiOs2Se
_cell_length_a 5.4193
_cell_length_b 5.4193
_cell_length_c 6.6523
_cell_angle_alpha 65.96
_cell_angle_beta 65.96
_cell_angle_gamma 90.00
_space_group_name_H-M_alt 'P 1'
_space_group_IT_number 1
_space_group_name_Hall 'P 1'
loop_
_atom_site_label
_atom_site_type_symbol
_atom_site_fract_x
_atom_site_fract_y
_atom_site_fract_z
Si1 Si 0.5000 0.5000 0.0000
Si2 Si 0.2500 0.7500 0.5000
Os1 Os 0.6172 0.1250 0.2500
Os2 Os 0.1328 0.6250 0.2500
Os3 Os 0.3750 0.3828 0.7500
Os4 Os 0.8750 0.8672 0.7500
Se1 Se 0.0000 0.0000 0.0000
Se2 Se 0.7500 0.2500 0.5000
# * space group: No. 122
# * magnetic moment: 0.00 Bohr magnetons per cell
# * uncorrected energy: -58.2 eV per cell

Entry 14:
# Si2OsSe PBE relaxed
data_Si2OsSe
_cell_length_a 4.4142
_cell_length_b 4.4142
_cell_length_c 4.4142
_cell_angle_alpha 120.52
_cell_angle_beta 120.52
_cell_angle_gamma 89.10
_space_group_name_H-M_alt 'P 1'
_space_group_IT_number 1
_space_group_name_Hall 'P 1'
loop_
_atom_site_label
_atom_site_type_symbol
_atom_site_fract_x
_atom_site_fract_y
_atom_site_fract_z
Os1 Os 0.5000 0.5000 0.0000
Se1 Se 0.7500 0.2500 0.5000
Si1 Si 0.0000 0.0000 0.0000
Si2 Si 0.2500 0.7500 0.5000
# * space group: No. 119
# * magnetic moment: 0.00 Bohr magnetons per cell
# * uncorrected energy: -23.4 eV per cell

Entry 15:
# Si2OsSe PBE relaxed
data_Si2OsSe
_cell_length_a 4.6087
_cell_length_b 4.6087
_cell_length_c 4.6087
_cell_angle_alpha 128.05
_cell_angle_beta 128.05
_cell_angle_gamma 76.55
_space_group_name_H-M_alt 'P 1'
_space_group_IT_number 1
_space_group_name_Hall 'P 1'
loop_
_atom_site_label
_atom_site_type_symbol
_atom_site_fract_x
_atom_site_fract_y
_atom_site_fract_z
Os1 Os 0.2500 0.7500 0.5000
Se1 Se 0.7500 0.2500 0.5000
Si1 Si 0.0000 0.0000 0.0000
Si2 Si 0.5000 0.5000 0.0000
# * space group: No. 139
# * magnetic moment: 0.00 Bohr magnetons per cell
# * uncorrected energy: -23.4 eV per cell